(1)
Computed, not measured: a geometry-optimized BaLi2Pb structure at the GGA-PBE level of DFT.

The structure in CIF format:
```
data_BaLi2Pb
_space_group_name_H-M_alt 'P 1'
_space_group_IT_number 1
_space_group_name_Hall 'P 1'
_cell_length_a 5.217
_cell_length_b 5.217
_cell_length_c 4.423
_cell_angle_alpha 90.00
_cell_angle_beta 90.00
_cell_angle_gamma 90.00
loop_
_atom_site_label
_atom_site_fract_x
_atom_site_fract_y
_atom_site_fract_z
_atom_site_occupancy
Li1 0.000 0.000 0.000 1
Ba1 0.000 0.500 0.500 1
Pb1 0.500 0.000 0.500 1
Li2 0.500 0.500 0.000 1
```

Summary:
- final energy (eV per atom) = -2.496
- formation energy (meV/atom) = -131.0
- total magnetization (μB per formula unit) = 0.000

=====

(2)
Computed, not measured: a geometry-optimized Ba2LiPb structure at the GGA-PBE level of DFT.

The structure in CIF format:
```
data_Ba2LiPb
_space_group_name_H-M_alt 'P 1'
_space_group_IT_number 1
_space_group_name_Hall 'P 1'
_cell_length_a 5.382
_cell_length_b 5.382
_cell_length_c 9.201
_cell_angle_alpha 81.76
_cell_angle_beta 81.76
_cell_angle_gamma 44.92
loop_
_atom_site_label
_atom_site_fract_x
_atom_site_fract_y
_atom_site_fract_z
_atom_site_occupancy
Ba1 0.986 0.986 0.027 1
Pb1 0.250 0.250 0.250 1
Ba2 0.514 0.514 0.473 1
Li1 0.750 0.750 0.750 1
```

Summary:
- final energy (eV per atom) = -2.489
- formation energy (meV/atom) = -121.8
- total magnetization (μB per formula unit) = 0.000

=====

(3)
Computed, not measured: a geometry-optimized BaLi6Pb4 structure at the GGA-PBE level of DFT.

The structure in CIF format:
```
data_BaLi6Pb4
_space_group_name_H-M_alt 'P 1'
_space_group_IT_number 1
_space_group_name_Hall 'P 1'
_cell_length_a 7.476
_cell_length_b 7.476
_cell_length_c 7.476
_cell_angle_alpha 92.89
_cell_angle_beta 118.35
_cell_angle_gamma 118.35
loop_
_atom_site_label
_atom_site_fract_x
_atom_site_fract_y
_atom_site_fract_z
_atom_site_occupancy
Li1 0.000 0.492 0.874 1
Li2 0.382 0.508 0.508 1
Pb1 0.346 0.766 0.766 1
Ba1 0.000 0.000 0.000 1
Pb2 0.000 0.234 0.579 1
Pb3 0.000 0.579 0.234 1
Li3 0.000 0.874 0.492 1
Li4 0.500 0.500 0.000 1
Li5 0.618 0.126 0.126 1
Pb4 0.654 0.421 0.421 1
Li6 0.500 0.000 0.500 1
```

Summary:
- final energy (eV per atom) = -2.753
- formation energy (meV/atom) = -185.8
- total magnetization (μB per formula unit) = 0.000